Record 1
Here is an optimized crystal structure of Sm2PaIn3Te6 from the Alexandria database. Energies are from GGA-PBE. Values from VASP.

Calculated values
The formation energy (no corrections) comes out at -816 meV/atom. The space-group type is C2/m. The uncorrected energy is -4.650 eV per atom.

The structure in Quantum ESPRESSO input format:
```
&SYSTEM
  ibrav = 0, nat = 12, ntyp = 4
/
ATOMIC_SPECIES
In 114.82 In.upf
Te 127.60 Te.upf
Sm 150.36 Sm.upf
Pa 231.04 Pa.upf
CELL_PARAMETERS angstrom
7.637 0.001 0.001
-3.816 6.615 0.001
-1.273 -2.204 8.240
ATOMIC_POSITIONS angstrom
In -2.523 4.399 4.121
Te 2.572 4.453 1.865
In 5.071 0.013 4.121
Te 2.501 -0.001 1.849
Sm 3.815 2.208 0.001
Te -1.251 2.165 1.849
Sm 0.005 4.408 0.001
Te 0.047 4.413 6.393
Te 3.799 2.246 6.393
In 1.274 2.206 4.121
Te -0.024 -0.041 6.376
Pa 0.000 0.000 0.000
```



Record 2
Here is an optimized crystal structure of GdZnPb2 from the Alexandria database. Energies are from GGA-PBE. Values from VASP.

Calculated values
The energy above the most stable polymorph in this dataset is 0 meV/atom. Its formation enthalpy at 0 K is -0.289 eV/atom. The space-group type is P4/mmm. The uncorrected energy is -5.981 eV per atom.

The structure in Quantum ESPRESSO input format:
```
&SYSTEM
  ibrav = 0, nat = 4, ntyp = 3
/
ATOMIC_SPECIES
Gd 157.25 Gd.upf
Zn 65.41 Zn.upf
Pb 207.20 Pb.upf
CELL_PARAMETERS angstrom
-0.466 0.111 4.509
2.289 -4.172 0.339
4.157 2.311 0.372
ATOMIC_POSITIONS angstrom
Gd 2.990 -0.875 2.610
Zn -0.233 0.055 2.255
Pb 1.145 -2.086 0.170
Pb 2.078 1.156 0.186
```



Record 3
Here is an optimized crystal structure of Na4HgAu2 from the Alexandria database. Energies are from GGA-PBE. Values from VASP.

Calculated values
The energy above the most stable polymorph in this dataset is 0 meV/atom. Its formation enthalpy at 0 K is -0.258 eV/atom. The space-group type is R-3m. The uncorrected energy is -1.991 eV per atom.

The structure in Quantum ESPRESSO input format:
```
&SYSTEM
  ibrav = 0, nat = 7, ntyp = 3
/
ATOMIC_SPECIES
Hg 200.59 Hg.upf
Au 196.97 Au.upf
Na 22.99 Na.upf
CELL_PARAMETERS angstrom
-1.568 -1.792 -4.484
-3.147 -3.980 -0.183
-7.824 3.008 -1.340
ATOMIC_POSITIONS angstrom
Hg 0.000 0.000 0.000
Au -9.518 -1.983 -4.502
Au -3.021 -0.781 -1.506
Na -8.421 0.315 -2.930
Na -4.118 -3.079 -3.078
Na -5.377 1.078 -1.425
Na -7.162 -3.842 -4.583
```



Record 4
Here is an optimized crystal structure of CuSbOs2 from the Alexandria database. Energies are from GGA-PBE. Values from VASP.

Calculated values
The formation energy (no corrections) comes out at 675 meV/atom. The space-group type is Immm. The uncorrected energy is -6.994 eV per atom.

The structure in Quantum ESPRESSO input format:
```
&SYSTEM
  ibrav = 0, nat = 4, ntyp = 3
/
ATOMIC_SPECIES
Sb 121.76 Sb.upf
Cu 63.55 Cu.upf
Os 190.23 Os.upf
CELL_PARAMETERS angstrom
5.434 0.092 -0.016
2.638 4.752 0.016
-3.491 -3.331 2.502
ATOMIC_POSITIONS angstrom
Sb 2.990 -0.408 1.243
Cu 1.592 1.922 1.259
Os 4.243 2.546 0.000
Os 7.865 4.720 0.000
```



Record 5
Here is an optimized crystal structure of Zr6Ni20P13 from the Alexandria database. Energies are from GGA-PBE. Values from VASP.

Calculated values
Its formation enthalpy at 0 K is -0.879 eV/atom. The space-group type is P-6. The uncorrected energy is -6.962 eV per atom.

The structure in Quantum ESPRESSO input format:
```
&SYSTEM
  ibrav = 0, nat = 39, ntyp = 3
/
ATOMIC_SPECIES
P 30.97 P.upf
Ni 58.69 Ni.upf
Zr 91.22 Zr.upf
CELL_PARAMETERS angstrom
12.501 0.000 0.000
-6.251 10.826 0.000
0.000 0.000 3.642
ATOMIC_POSITIONS angstrom
P -4.138 8.307 1.821
Ni 7.286 7.316 0.000
Ni 8.712 6.105 1.821
Ni 8.943 0.858 0.000
Ni 0.068 2.150 0.000
Ni 0.000 7.218 1.821
Ni 6.250 3.609 0.000
Ni -4.423 9.693 0.000
Ni 2.522 2.652 0.000
P 2.078 6.639 1.821
Ni 4.355 9.810 0.000
Zr 0.567 5.125 0.000
P 7.792 5.127 0.000
Ni 6.230 9.085 1.821
P -1.541 5.707 1.821
P 1.125 3.089 1.821
P 6.250 10.826 0.000
Ni -2.656 10.048 1.821
P 3.253 0.573 0.000
Ni 11.003 0.889 1.821
Zr 4.727 2.071 1.821
Ni -0.900 10.603 0.000
P 5.120 7.723 0.000
Ni 2.858 4.492 1.821
Ni -1.124 3.502 1.821
Zr -2.096 7.772 0.000
P 3.012 10.256 1.821
Ni 3.779 8.102 1.821
Zr 5.681 5.697 1.821
Ni 7.182 0.229 1.821
P 4.165 4.185 0.000
Ni 3.381 6.304 0.000
Ni 1.518 0.853 1.821
P 6.795 1.514 0.000
Ni -2.482 4.746 0.000
Zr 8.344 3.058 1.821
Zr 1.528 8.755 0.000
P -0.538 9.307 1.821
P 10.379 2.530 0.000
```



Record 6
Here is an optimized crystal structure of K2AuSeI from the Alexandria database. Energies are from GGA-PBE. Values from VASP.

Calculated values
The formation energy (no corrections) comes out at -861 meV/atom. The space-group type is P4/mmm. The uncorrected energy is -2.962 eV per atom.

The structure in Quantum ESPRESSO input format:
```
&SYSTEM
  ibrav = 0, nat = 5, ntyp = 4
/
ATOMIC_SPECIES
K 39.10 K.upf
Au 196.97 Au.upf
I 126.90 I.upf
Se 78.96 Se.upf
CELL_PARAMETERS angstrom
6.414 0.000 0.000
0.000 6.414 0.000
0.000 0.000 4.838
ATOMIC_POSITIONS angstrom
K 3.207 0.000 0.000
Au 0.000 0.000 2.419
I 3.207 3.207 2.419
Se 0.000 0.000 0.000
K 0.000 3.207 0.000
```



Record 7
Here is an optimized crystal structure of Er3TlH from the Alexandria database. Energies are from GGA-PBE. Values from VASP.

Calculated values
The energy above the most stable polymorph in this dataset is 43 meV/atom. The space-group type is P2_1/c. The uncorrected energy is -4.115 eV per atom.

The structure in Quantum ESPRESSO input format:
```
&SYSTEM
  ibrav = 0, nat = 20, ntyp = 3
/
ATOMIC_SPECIES
Er 167.26 Er.upf
Tl 204.38 Tl.upf
H 1.01 H.upf
CELL_PARAMETERS angstrom
-2.885 -1.230 -5.468
7.292 0.283 -3.911
-0.500 -8.731 2.228
ATOMIC_POSITIONS angstrom
Er 3.863 -4.448 -5.412
Tl 1.490 -2.612 -6.606
Er -2.512 -7.051 -3.813
Er 0.043 -5.230 -1.738
H -2.179 -9.090 -2.345
Er -0.425 -4.688 -5.185
H -1.858 -4.695 -3.324
Tl 1.907 -3.025 -3.100
Er 3.777 -0.967 -4.605
H 6.086 -0.587 -4.806
Er 5.156 -7.424 -4.142
Er 6.419 -2.626 -3.337
Er 1.147 -0.500 -1.234
Er 4.331 -4.990 -1.966
H 5.765 -4.983 -3.827
Er -1.249 -2.254 -3.009
Er 0.130 -8.711 -2.545
Tl 2.000 -6.653 -4.050
Tl 2.417 -7.066 -0.544
Er 2.760 -9.178 -5.916
```



Record 8
Here is an optimized crystal structure of Hf2Sb4N from the Alexandria database. Energies are from GGA-PBE. Values from VASP.

Calculated values
The formation energy (no corrections) comes out at 298 meV/atom. The space-group type is I4/mmm. The uncorrected energy is -6.091 eV per atom.

The structure in Quantum ESPRESSO input format:
```
&SYSTEM
  ibrav = 0, nat = 7, ntyp = 3
/
ATOMIC_SPECIES
N 14.01 N.upf
Sb 121.76 Sb.upf
Hf 178.49 Hf.upf
CELL_PARAMETERS angstrom
-3.790 -1.794 -1.772
2.290 -1.108 -3.775
1.015 -8.194 0.276
ATOMIC_POSITIONS angstrom
N 0.000 0.000 0.000
Sb 1.145 -0.554 -1.888
Hf -0.214 -7.818 -3.324
Sb -1.895 -0.897 -0.886
Sb -0.905 -5.176 -4.519
Sb 0.419 -5.920 -0.752
Hf -0.272 -3.278 -1.947
```